(1)
! Tl2AgOs (meta-GGA SCAN, single point on PBEsol structure); values from VASP
&SYSTEM
  ibrav = 0, nat = 4, ntyp = 3
/
ATOMIC_SPECIES
Tl 204.38 Tl.upf
Ag 107.87 Ag.upf
Os 190.23 Os.upf
ATOMIC_POSITIONS crystal
Tl 0.000 0.000 0.232
Tl 0.000 0.000 0.768
Ag 0.500 0.500 0.500
Os 0.500 0.500 0.000
CELL_PARAMETERS angstrom
3.254 0.000 0.000
0.000 3.254 0.000
0.000 0.000 7.166
! Distance to the lowest polymorph of the same formula, eV per formula unit: 0.00
! Symmetry: P4/mmm, No. 123
! Formation enthalpy at 0 K, eV per atom: 0.82



(2)
! TaW2Au (meta-GGA SCAN, single point on PBEsol structure); values from VASP
&SYSTEM
  ibrav = 0, nat = 4, ntyp = 3
/
ATOMIC_SPECIES
Ta 180.95 Ta.upf
W 183.84 W.upf
Au 196.97 Au.upf
ATOMIC_POSITIONS crystal
Ta 0.000 0.000 0.000
W 0.000 0.500 0.500
W 0.500 0.000 0.500
Au 0.500 0.500 0.000
CELL_PARAMETERS angstrom
3.933 0.000 0.000
0.000 3.933 0.000
0.000 0.000 4.187
! Distance to the lowest polymorph of the same formula, eV per formula unit: 0.00
! Symmetry: P4/mmm, No. 123
! Formation enthalpy at 0 K, eV per atom: 0.12



(3)
! CuP2O2 (meta-GGA SCAN, single point on PBEsol structure); values from VASP
&SYSTEM
  ibrav = 0, nat = 10, ntyp = 3
/
ATOMIC_SPECIES
Cu 63.55 Cu.upf
P 30.97 P.upf
O 16.00 O.upf
ATOMIC_POSITIONS crystal
Cu 0.000 0.000 0.000
Cu 0.500 0.500 0.500
P 0.000 0.000 0.360
P 0.000 0.000 0.640
P 0.500 0.500 0.140
P 0.500 0.500 0.860
O 0.000 0.500 0.250
O 0.000 0.500 0.750
O 0.500 0.000 0.250
O 0.500 0.000 0.750
CELL_PARAMETERS angstrom
3.251 0.000 0.000
0.000 3.251 0.000
0.000 0.000 10.276
! Symmetry: I4/mmm, No. 139



(4)
! LiMn3Nb (meta-GGA SCAN, single point on PBEsol structure); values from VASP
&SYSTEM
  ibrav = 0, nat = 5, ntyp = 3
/
ATOMIC_SPECIES
Li 6.94 Li.upf
Mn 54.94 Mn.upf
Nb 92.91 Nb.upf
ATOMIC_POSITIONS crystal
Li 0.000 0.000 0.000
Mn 0.000 0.000 0.500
Mn 0.000 0.500 0.000
Mn 0.500 0.000 0.000
Nb 0.500 0.500 0.500
CELL_PARAMETERS angstrom
3.977 0.000 0.000
0.000 3.977 0.000
0.000 0.000 3.977
! Symmetry: Pm-3m, No. 221
! Formation enthalpy at 0 K, eV per atom: 0.76



(5)
! NbFeBi2Pb (meta-GGA SCAN, single point on PBEsol structure); values from VASP
&SYSTEM
  ibrav = 0, nat = 5, ntyp = 4
/
ATOMIC_SPECIES
Nb 92.91 Nb.upf
Fe 55.84 Fe.upf
Bi 208.98 Bi.upf
Pb 207.20 Pb.upf
ATOMIC_POSITIONS crystal
Nb 0.000 0.000 0.000
Fe 0.000 0.000 0.500
Bi 0.000 0.500 0.500
Bi 0.500 0.000 0.500
Pb 0.500 0.500 0.000
CELL_PARAMETERS angstrom
4.998 0.000 0.000
0.000 4.998 0.000
0.000 0.000 4.801
! Symmetry: P4/mmm, No. 123
! Formation enthalpy at 0 K, eV per atom: 0.71



(6)
! UP3 (meta-GGA SCAN, single point on PBEsol structure); values from VASP
&SYSTEM
  ibrav = 0, nat = 8, ntyp = 2
/
ATOMIC_SPECIES
U 238.03 U.upf
P 30.97 P.upf
ATOMIC_POSITIONS crystal
U 0.333 0.667 0.250
U 0.667 0.333 0.750
P 0.180 0.359 0.750
P 0.180 0.820 0.750
P 0.359 0.180 0.250
P 0.641 0.820 0.750
P 0.820 0.180 0.250
P 0.820 0.641 0.250
CELL_PARAMETERS angstrom
5.346 0.000 0.000
-2.673 4.630 0.000
0.000 0.000 5.131
! Symmetry: P6_3/mmc, No. 194
! Formation enthalpy at 0 K, eV per atom: -0.52



(7)
! FeMoW2 (meta-GGA SCAN, single point on PBEsol structure); values from VASP
&SYSTEM
  ibrav = 0, nat = 8, ntyp = 3
/
ATOMIC_SPECIES
Fe 55.84 Fe.upf
Mo 95.94 Mo.upf
W 183.84 W.upf
ATOMIC_POSITIONS crystal
Fe 0.000 0.000 0.000
Fe 0.500 0.500 0.500
Mo 0.000 0.000 0.500
Mo 0.500 0.500 0.000
W 0.000 0.500 0.250
W 0.000 0.500 0.750
W 0.500 0.000 0.250
W 0.500 0.000 0.750
CELL_PARAMETERS angstrom
3.137 0.000 0.000
0.000 4.366 0.000
0.000 0.000 8.491
! Distance to the lowest polymorph of the same formula, eV per formula unit: 0.19
! Symmetry: Immm, No. 71
! Formation enthalpy at 0 K, eV per atom: 0.13



(8)
! Sr2Bi2W (meta-GGA SCAN, single point on PBEsol structure); values from VASP
&SYSTEM
  ibrav = 0, nat = 10, ntyp = 3
/
ATOMIC_SPECIES
Sr 87.62 Sr.upf
Bi 208.98 Bi.upf
W 183.84 W.upf
ATOMIC_POSITIONS crystal
Sr 0.000 0.500 0.250
Sr 0.000 0.500 0.750
Sr 0.500 0.000 0.250
Sr 0.500 0.000 0.750
Bi 0.000 0.000 0.187
Bi 0.000 0.000 0.813
Bi 0.500 0.500 0.313
Bi 0.500 0.500 0.687
W 0.000 0.000 0.500
W 0.500 0.500 0.000
CELL_PARAMETERS angstrom
6.599 0.000 0.000
0.000 6.599 0.000
0.000 0.000 8.580
! Symmetry: I4/mmm, No. 139
! Formation enthalpy at 0 K, eV per atom: 0.57



(9)
! LaFePb2 (meta-GGA SCAN, single point on PBEsol structure); values from VASP
&SYSTEM
  ibrav = 0, nat = 12, ntyp = 3
/
ATOMIC_SPECIES
La 138.91 La.upf
Fe 55.84 Fe.upf
Pb 207.20 Pb.upf
ATOMIC_POSITIONS crystal
La 0.000 0.000 0.000
La 0.333 0.667 0.667
La 0.667 0.333 0.333
Fe 0.000 0.000 0.500
Fe 0.333 0.667 0.167
Fe 0.667 0.333 0.833
Pb 0.000 0.000 0.223
Pb 0.000 0.000 0.777
Pb 0.333 0.667 0.444
Pb 0.333 0.667 0.890
Pb 0.667 0.333 0.110
Pb 0.667 0.333 0.556
CELL_PARAMETERS angstrom
4.541 0.000 0.000
-2.270 3.932 0.000
0.000 0.000 16.736
! Distance to the lowest polymorph of the same formula, eV per formula unit: 0.00
! Symmetry: R-3m, No. 166
! Formation enthalpy at 0 K, eV per atom: -0.20



(10)
! Lu3Pd4 (meta-GGA SCAN, single point on PBEsol structure); values from VASP
&SYSTEM
  ibrav = 0, nat = 14, ntyp = 2
/
ATOMIC_SPECIES
Lu 174.97 Lu.upf
Pd 106.42 Pd.upf
ATOMIC_POSITIONS crystal
Lu 0.021 0.274 0.404
Lu 0.274 0.404 0.021
Lu 0.404 0.021 0.274
Lu 0.596 0.979 0.726
Lu 0.726 0.596 0.979
Lu 0.979 0.726 0.596
Pd 0.000 0.000 0.000
Pd 0.066 0.546 0.231
Pd 0.231 0.066 0.546
Pd 0.454 0.769 0.934
Pd 0.500 0.500 0.500
Pd 0.546 0.231 0.066
Pd 0.769 0.934 0.454
Pd 0.934 0.454 0.769
CELL_PARAMETERS angstrom
6.358 3.671 1.864
-6.358 3.671 1.864
0.000 -7.341 1.864
! Symmetry: R-3, No. 148
! Formation enthalpy at 0 K, eV per atom: -1.08



(11)
! Re2Ag2I (meta-GGA SCAN, single point on PBEsol structure); values from VASP
&SYSTEM
  ibrav = 0, nat = 10, ntyp = 3
/
ATOMIC_SPECIES
Re 186.21 Re.upf
Ag 107.87 Ag.upf
I 126.90 I.upf
ATOMIC_POSITIONS crystal
Re 0.000 0.000 0.092
Re 0.000 0.000 0.908
Re 0.500 0.500 0.408
Re 0.500 0.500 0.592
Ag 0.000 0.500 0.250
Ag 0.000 0.500 0.750
Ag 0.500 0.000 0.250
Ag 0.500 0.000 0.750
I 0.000 0.000 0.500
I 0.500 0.500 0.000
CELL_PARAMETERS angstrom
3.817 0.000 0.000
0.000 3.817 0.000
0.000 0.000 12.802
! Symmetry: I4/mmm, No. 139



(12)
! Nb5GaSn2 (meta-GGA SCAN, single point on PBEsol structure); values from VASP
&SYSTEM
  ibrav = 0, nat = 16, ntyp = 3
/
ATOMIC_SPECIES
Nb 92.91 Nb.upf
Ga 69.72 Ga.upf
Sn 118.71 Sn.upf
ATOMIC_POSITIONS crystal
Nb 0.071 0.782 0.854
Nb 0.218 0.071 0.289
Nb 0.250 0.750 0.500
Nb 0.282 0.571 0.854
Nb 0.429 0.282 0.711
Nb 0.571 0.718 0.289
Nb 0.718 0.429 0.146
Nb 0.750 0.250 0.500
Nb 0.782 0.929 0.711
Nb 0.929 0.218 0.146
Ga 0.250 0.250 0.000
Ga 0.750 0.750 0.000
Sn 0.168 0.332 0.500
Sn 0.332 0.832 0.163
Sn 0.668 0.168 0.837
Sn 0.832 0.668 0.500
CELL_PARAMETERS angstrom
-5.298 5.298 2.570
5.298 -5.298 2.570
5.298 5.298 -2.570
! Symmetry: I4/mcm, No. 140
! Formation enthalpy at 0 K, eV per atom: -0.36



Number 1: electronic total energy -61.1708 eV per atom, total magnetic moment 0.0 μB/cell, density 15473 kg/m3. Number 2: electronic total energy -68.6597 eV per atom, total magnetic moment 0.0 μB/cell, density 19115 kg/m3. Number 3: electronic total energy -9.5698 eV per atom, total magnetic moment 0.0 μB/cell, density 4816 kg/m3. Number 4: electronic total energy -17.2980 eV per atom, total magnetic moment 7.0 μB/cell, density 6986 kg/m3. Number 5: electronic total energy -56.1265 eV per atom, total magnetic moment 0.3 μB/cell, density 10716 kg/m3. Number 6: electronic total energy -34.2017 eV per atom, total magnetic moment 0.0 μB/cell, density 8655 kg/m3. Number 7: electronic total energy -47.9709 eV per atom, total magnetic moment 4.5 μB/cell, density 14833 kg/m3. Number 8: electronic total energy -53.7116 eV per atom, total magnetic moment 5.8 μB/cell, density 6907 kg/m3. Number 9: electronic total energy -53.4032 eV per atom, total magnetic moment 7.9 μB/cell, density 10154 kg/m3. Number 10: electronic total energy -43.5305 eV per atom, total magnetic moment 0.0 μB/cell, density 12098 kg/m3. Number 11: electronic total energy -46.8727 eV per atom, total magnetic moment 0.0 μB/cell, density 12733 kg/m3. Number 12: electronic total energy -32.0888 eV per atom, total magnetic moment 0.0 μB/cell, density 8882 kg/m3.